Entry 1:
Below is crystalline SrHg3Pb3 at its relaxed geometry, with properties calculated at the GGA-PBE level.

```
data_SrHg3Pb3
_chemical_formula_sum 'Sr2 Hg6 Pb6'
_cell_length_a 7.910
_cell_length_b 7.910
_cell_length_c 9.094
_cell_angle_alpha 64.22
_cell_angle_beta 64.22
_cell_angle_gamma 60.00
_space_group_name_H-M_alt 'P 1'
_space_group_IT_number 1
_space_group_name_Hall 'P 1'
loop_
_atom_site_label
_atom_site_fract_x
_atom_site_fract_y
_atom_site_fract_z
Sr1 0.586 0.586 0.241
Sr2 0.414 0.414 0.759
Hg1 0.283 0.283 0.526
Hg2 0.909 0.283 0.526
Hg3 0.283 0.909 0.526
Hg4 0.717 0.091 0.474
Hg5 0.091 0.717 0.474
Hg6 0.717 0.717 0.474
Pb1 0.419 0.861 0.858
Pb2 0.861 0.862 0.858
Pb3 0.862 0.419 0.858
Pb4 0.138 0.581 0.142
Pb5 0.139 0.138 0.142
Pb6 0.581 0.139 0.142
```

Output
Distance to the lowest polymorph of the same formula (eV per atom): 0.015
ΔE_f (kJ/mol of formula units): -101

---

Entry 2:
Below is crystalline NaMnNi at its relaxed geometry, with properties calculated at the GGA-PBE level.

```
data_NaMnNi
_chemical_formula_sum 'Na2 Mn2 Ni2'
_cell_length_a 3.971
_cell_length_b 3.971
_cell_length_c 8.785
_cell_angle_alpha 90.00
_cell_angle_beta 90.00
_cell_angle_gamma 120.00
_space_group_name_H-M_alt 'P 1'
_space_group_IT_number 1
_space_group_name_Hall 'P 1'
loop_
_atom_site_label
_atom_site_fract_x
_atom_site_fract_y
_atom_site_fract_z
Ni1 0.333 0.667 0.063
Ni2 0.667 0.333 0.937
Mn1 0.000 0.000 0.894
Mn2 0.000 0.000 0.106
Na1 0.333 0.667 0.670
Na2 0.667 0.333 0.330
```

Output
Distance to the lowest polymorph of the same formula (eV per atom): 0.316
ΔE_f (kJ/mol of formula units): 159

---

Entry 3:
Below is crystalline Th2TlPb at its relaxed geometry, with properties calculated at the GGA-PBE level.

```
data_Th2TlPb
_chemical_formula_sum 'Th2 Tl1 Pb1'
_cell_length_a 3.573
_cell_length_b 4.650
_cell_length_c 7.150
_cell_angle_alpha 90.00
_cell_angle_beta 91.02
_cell_angle_gamma 90.00
_space_group_name_H-M_alt 'P 1'
_space_group_IT_number 1
_space_group_name_Hall 'P 1'
loop_
_atom_site_label
_atom_site_fract_x
_atom_site_fract_y
_atom_site_fract_z
Th1 0.997 0.000 0.753
Th2 0.003 0.000 0.247
Tl1 0.500 0.500 0.000
Pb1 0.500 0.500 0.500
```

Output
ΔE_f (kJ/mol of formula units): -83

---

Entry 4:
Below is crystalline TlPtBr2 at its relaxed geometry, with properties calculated at the GGA-PBE level.

```
data_TlPtBr2
_chemical_formula_sum 'Tl1 Pt1 Br2'
_cell_length_a 8.872
_cell_length_b 8.872
_cell_length_c 3.783
_cell_angle_alpha 77.70
_cell_angle_beta 77.70
_cell_angle_gamma 23.59
_space_group_name_H-M_alt 'P 1'
_space_group_IT_number 1
_space_group_name_Hall 'P 1'
loop_
_atom_site_label
_atom_site_fract_x
_atom_site_fract_y
_atom_site_fract_z
Tl1 0.187 0.187 0.312
Br1 0.000 0.000 0.000
Br2 0.786 0.786 0.714
Pt1 0.527 0.527 0.473
```

Output
Distance to the lowest polymorph of the same formula (eV per atom): 0.165
Energy relative to the elements, uncorrected (meV/atom): -37

---

Entry 5:
Below is crystalline MnSbRh2 at its relaxed geometry, with properties calculated at the GGA-PBE level.

```
data_MnSbRh2
_chemical_formula_sum 'Mn1 Sb1 Rh2'
_cell_length_a 8.295
_cell_length_b 8.295
_cell_length_c 8.295
_cell_angle_alpha 21.47
_cell_angle_beta 21.47
_cell_angle_gamma 21.47
_space_group_name_H-M_alt 'P 1'
_space_group_IT_number 1
_space_group_name_Hall 'P 1'
loop_
_atom_site_label
_atom_site_fract_x
_atom_site_fract_y
_atom_site_fract_z
Mn1 0.750 0.750 0.750
Rh1 0.001 0.001 0.001
Rh2 0.499 0.499 0.499
Sb1 0.250 0.250 0.250
```

Output
Energy relative to the elements, uncorrected (meV/atom): 10

---

Entry 6:
Below is crystalline InAsSe2Cl at its relaxed geometry, with properties calculated at the GGA-PBE level.

```
data_InAsSe2Cl
_chemical_formula_sum 'In1 As1 Se2 Cl1'
_cell_length_a 5.245
_cell_length_b 5.245
_cell_length_c 5.565
_cell_angle_alpha 90.00
_cell_angle_beta 90.00
_cell_angle_gamma 90.00
_space_group_name_H-M_alt 'P 1'
_space_group_IT_number 1
_space_group_name_Hall 'P 1'
loop_
_atom_site_label
_atom_site_fract_x
_atom_site_fract_y
_atom_site_fract_z
As1 0.000 0.000 0.500
Cl1 0.500 0.500 0.500
Se1 0.000 0.500 0.000
Se2 0.500 0.000 0.000
In1 0.000 0.000 0.000
```

Output
Distance to the lowest polymorph of the same formula (eV per atom): 0.000
Energy relative to the elements, uncorrected (meV/atom): 643

---

Entry 7:
Below is crystalline LiTcP at its relaxed geometry, with properties calculated at the GGA-PBE level.

```
data_LiTcP
_chemical_formula_sum 'Li1 Tc1 P1'
_cell_length_a 3.946
_cell_length_b 3.946
_cell_length_c 3.946
_cell_angle_alpha 60.00
_cell_angle_beta 60.00
_cell_angle_gamma 60.00
_space_group_name_H-M_alt 'P 1'
_space_group_IT_number 1
_space_group_name_Hall 'P 1'
loop_
_atom_site_label
_atom_site_fract_x
_atom_site_fract_y
_atom_site_fract_z
Li1 0.000 0.000 0.000
P1 0.500 0.500 0.500
Tc1 0.750 0.750 0.750
```

Output
Distance to the lowest polymorph of the same formula (eV per atom): 0.566
ΔE_f (kJ/mol of formula units): 8

---

Entry 8:
Below is crystalline LiMg3Zr at its relaxed geometry, with properties calculated at the GGA-PBE level.

```
data_LiMg3Zr
_chemical_formula_sum 'Li1 Mg3 Zr1'
_cell_length_a 5.683
_cell_length_b 5.683
_cell_length_c 5.683
_cell_angle_alpha 90.00
_cell_angle_beta 90.00
_cell_angle_gamma 90.00
_space_group_name_H-M_alt 'P 1'
_space_group_IT_number 1
_space_group_name_Hall 'P 1'
loop_
_atom_site_label
_atom_site_fract_x
_atom_site_fract_y
_atom_site_fract_z
Mg1 0.000 0.500 0.000
Mg2 0.000 0.000 0.500
Mg3 0.500 0.000 0.000
Zr1 0.000 0.000 0.000
Li1 0.500 0.500 0.500
```

Output
Distance to the lowest polymorph of the same formula (eV per atom): 0.898
ΔE_f (kJ/mol of formula units): 467

---

Entry 9:
Below is crystalline NaTaO3 at its relaxed geometry, with properties calculated at the GGA-PBE level.

```
data_NaTaO3
_chemical_formula_sum 'Na1 Ta1 O3'
_cell_length_a 4.685
_cell_length_b 4.685
_cell_length_c 4.685
_cell_angle_alpha 86.20
_cell_angle_beta 86.20
_cell_angle_gamma 86.20
_space_group_name_H-M_alt 'P 1'
_space_group_IT_number 1
_space_group_name_Hall 'P 1'
loop_
_atom_site_label
_atom_site_fract_x
_atom_site_fract_y
_atom_site_fract_z
Na1 0.554 0.554 0.554
O1 0.662 0.094 0.662
O2 0.094 0.662 0.662
O3 0.662 0.662 0.094
Ta1 0.903 0.903 0.903
```

Output
Energy relative to the elements, uncorrected (meV/atom): -1886

---

Entry 10:
Below is crystalline MgSc2Al2Pd5 at its relaxed geometry, with properties calculated at the GGA-PBE level.

```
data_MgSc2Al2Pd5
_chemical_formula_sum 'Mg2 Sc4 Al4 Pd10'
_cell_length_a 3.658
_cell_length_b 9.636
_cell_length_c 9.636
_cell_angle_alpha 90.00
_cell_angle_beta 90.00
_cell_angle_gamma 90.00
_space_group_name_H-M_alt 'P 1'
_space_group_IT_number 1
_space_group_name_Hall 'P 1'
loop_
_atom_site_label
_atom_site_fract_x
_atom_site_fract_y
_atom_site_fract_z
Mg1 0.000 0.000 0.000
Mg2 0.000 0.500 0.500
Sc1 0.000 0.674 0.174
Sc2 0.000 0.326 0.826
Sc3 0.000 0.174 0.326
Sc4 0.000 0.826 0.674
Al1 0.000 0.124 0.624
Al2 0.000 0.876 0.376
Al3 0.000 0.624 0.876
Al4 0.000 0.376 0.124
Pd1 0.500 0.207 0.070
Pd2 0.500 0.793 0.930
Pd3 0.500 0.070 0.793
Pd4 0.500 0.707 0.430
Pd5 0.500 0.930 0.207
Pd6 0.500 0.293 0.570
Pd7 0.500 0.570 0.707
Pd8 0.500 0.430 0.293
Pd9 0.500 0.500 0.000
Pd10 0.500 0.000 0.500
```

Output
ΔE_f (kJ/mol of formula units): -735

---

Entry 11:
Below is crystalline Pd2RhAuN at its relaxed geometry, with properties calculated at the GGA-PBE level.

```
data_Pd2RhAuN
_chemical_formula_sum 'Pd2 Rh1 Au1 N1'
_cell_length_a 4.299
_cell_length_b 4.299
_cell_length_c 3.907
_cell_angle_alpha 90.00
_cell_angle_beta 90.00
_cell_angle_gamma 90.00
_space_group_name_H-M_alt 'P 1'
_space_group_IT_number 1
_space_group_name_Hall 'P 1'
loop_
_atom_site_label
_atom_site_fract_x
_atom_site_fract_y
_atom_site_fract_z
Rh1 0.000 0.000 0.500
Au1 0.500 0.500 0.500
Pd1 0.000 0.500 0.000
Pd2 0.500 0.000 0.000
N1 0.000 0.000 0.000
```

Output
Energy relative to the elements, uncorrected (meV/atom): 178

---

Entry 12:
Below is crystalline FeHgRh2 at its relaxed geometry, with properties calculated at the GGA-PBE level.

```
data_FeHgRh2
_chemical_formula_sum 'Fe1 Hg1 Rh2'
_cell_length_a 4.760
_cell_length_b 4.760
_cell_length_c 4.884
_cell_angle_alpha 78.19
_cell_angle_beta 78.19
_cell_angle_gamma 34.79
_space_group_name_H-M_alt 'P 1'
_space_group_IT_number 1
_space_group_name_Hall 'P 1'
loop_
_atom_site_label
_atom_site_fract_x
_atom_site_fract_y
_atom_site_fract_z
Fe1 0.750 0.750 0.750
Hg1 0.250 0.250 0.250
Rh1 0.011 0.011 0.978
Rh2 0.489 0.489 0.522
```

Output
ΔE_f (kJ/mol of formula units): 61

---

Entry 13:
Below is crystalline LiScOs2 at its relaxed geometry, with properties calculated at the GGA-PBE level.

```
data_LiScOs2
_chemical_formula_sum 'Li1 Sc1 Os2'
_cell_length_a 2.702
_cell_length_b 2.702
_cell_length_c 8.445
_cell_angle_alpha 90.00
_cell_angle_beta 90.00
_cell_angle_gamma 90.00
_space_group_name_H-M_alt 'P 1'
_space_group_IT_number 1
_space_group_name_Hall 'P 1'
loop_
_atom_site_label
_atom_site_fract_x
_atom_site_fract_y
_atom_site_fract_z
Li1 0.500 0.500 0.750
Os1 0.000 0.000 0.994
Os2 0.000 0.000 0.506
Sc1 0.500 0.500 0.250
```

Output
Distance to the lowest polymorph of the same formula (eV per atom): 0.341
ΔE_f (kJ/mol of formula units): 119

---

Entry 14:
Below is crystalline NaCu2Re at its relaxed geometry, with properties calculated at the GGA-PBE level.

```
data_NaCu2Re
_chemical_formula_sum 'Na2 Cu4 Re2'
_cell_length_a 4.037
_cell_length_b 4.037
_cell_length_c 8.998
_cell_angle_alpha 77.04
_cell_angle_beta 77.04
_cell_angle_gamma 90.00
_space_group_name_H-M_alt 'P 1'
_space_group_IT_number 1
_space_group_name_Hall 'P 1'
loop_
_atom_site_label
_atom_site_fract_x
_atom_site_fract_y
_atom_site_fract_z
Re1 0.000 0.000 0.000
Re2 0.750 0.250 0.500
Cu1 0.683 0.125 0.250
Cu2 0.067 0.625 0.250
Cu3 0.375 0.317 0.750
Cu4 0.875 0.933 0.750
Na1 0.500 0.500 0.000
Na2 0.250 0.750 0.500
```

Output
Distance to the lowest polymorph of the same formula (eV per atom): 0.510
ΔE_f (kJ/mol of formula units): 541

---

Entry 15:
Below is crystalline AlSiOsRh at its relaxed geometry, with properties calculated at the GGA-PBE level.

```
data_AlSiOsRh
_chemical_formula_sum 'Al1 Si1 Os1 Rh1'
_cell_length_a 3.022
_cell_length_b 4.133
_cell_length_c 4.228
_cell_angle_alpha 90.00
_cell_angle_beta 90.00
_cell_angle_gamma 90.00
_space_group_name_H-M_alt 'P 1'
_space_group_IT_number 1
_space_group_name_Hall 'P 1'
loop_
_atom_site_label
_atom_site_fract_x
_atom_site_fract_y
_atom_site_fract_z
Al1 0.500 0.000 0.500
Si1 0.500 0.500 0.000
Os1 0.000 0.000 0.000
Rh1 0.000 0.500 0.500
```

Output
Energy relative to the elements, uncorrected (meV/atom): -650

---

Entry 16:
Below is crystalline Li3AcSi at its relaxed geometry, with properties calculated at the GGA-PBE level.

```
data_Li3AcSi
_chemical_formula_sum 'Li3 Ac1 Si1'
_cell_length_a 4.814
_cell_length_b 4.814
_cell_length_c 4.814
_cell_angle_alpha 90.00
_cell_angle_beta 90.00
_cell_angle_gamma 90.00
_space_group_name_H-M_alt 'P 1'
_space_group_IT_number 1
_space_group_name_Hall 'P 1'
loop_
_atom_site_label
_atom_site_fract_x
_atom_site_fract_y
_atom_site_fract_z
Ac1 0.500 0.500 0.500
Si1 0.000 0.000 0.000
Li1 0.000 0.500 0.000
Li2 0.000 0.000 0.500
Li3 0.500 0.000 0.000
```

Output
Distance to the lowest polymorph of the same formula (eV per atom): 0.136
Energy relative to the elements, uncorrected (meV/atom): -42

---

Entry 17:
Below is crystalline Pr2MnCuSe5 at its relaxed geometry, with properties calculated at the GGA-PBE level.

```
data_Pr2MnCuSe5
_chemical_formula_sum 'Pr4 Mn2 Cu2 Se10'
_cell_length_a 4.040
_cell_length_b 9.004
_cell_length_c 11.772
_cell_angle_alpha 90.00
_cell_angle_beta 90.00
_cell_angle_gamma 102.96
_space_group_name_H-M_alt 'P 1'
_space_group_IT_number 1
_space_group_name_Hall 'P 1'
loop_
_atom_site_label
_atom_site_fract_x
_atom_site_fract_y
_atom_site_fract_z
Pr1 0.875 0.750 0.807
Pr2 0.113 0.226 0.693
Pr3 0.125 0.250 0.307
Pr4 0.887 0.774 0.193
Mn1 0.804 0.609 0.514
Mn2 0.196 0.391 0.014
Cu1 0.576 0.151 0.954
Cu2 0.424 0.849 0.454
Se1 0.348 0.696 0.002
Se2 0.699 0.397 0.852
Se3 0.501 0.002 0.781
Se4 0.286 0.571 0.662
Se5 0.945 0.890 0.560
Se6 0.652 0.304 0.502
Se7 0.301 0.603 0.352
Se8 0.499 0.998 0.281
Se9 0.714 0.429 0.162
Se10 0.055 0.110 0.060
```

Output
Energy relative to the elements, uncorrected (meV/atom): -1176

---

Entry 18:
Below is crystalline AlSb2TePd at its relaxed geometry, with properties calculated at the GGA-PBE level.

```
data_AlSb2TePd
_chemical_formula_sum 'Al1 Sb2 Te1 Pd1'
_cell_length_a 5.190
_cell_length_b 5.190
_cell_length_c 5.265
_cell_angle_alpha 90.00
_cell_angle_beta 90.00
_cell_angle_gamma 90.00
_space_group_name_H-M_alt 'P 1'
_space_group_IT_number 1
_space_group_name_Hall 'P 1'
loop_
_atom_site_label
_atom_site_fract_x
_atom_site_fract_y
_atom_site_fract_z
Sb1 0.000 0.500 0.000
Sb2 0.500 0.000 0.000
Te1 0.000 0.000 0.500
Al1 0.000 0.000 0.000
Pd1 0.500 0.500 0.500
```

Output
Distance to the lowest polymorph of the same formula (eV per atom): 0.210
Energy relative to the elements, uncorrected (meV/atom): 654

---

Entry 19:
Below is crystalline GaB2IO at its relaxed geometry, with properties calculated at the GGA-PBE level.

```
data_GaB2IO
_chemical_formula_sum 'Ga1 B2 I1 O1'
_cell_length_a 3.942
_cell_length_b 6.125
_cell_length_c 3.942
_cell_angle_alpha 90.00
_cell_angle_beta 90.00
_cell_angle_gamma 90.00
_space_group_name_H-M_alt 'P 1'
_space_group_IT_number 1
_space_group_name_Hall 'P 1'
loop_
_atom_site_label
_atom_site_fract_x
_atom_site_fract_y
_atom_site_fract_z
I1 0.000 0.500 0.000
B1 0.000 0.000 0.500
B2 0.500 0.000 0.000
O1 0.500 0.500 0.500
Ga1 0.000 0.000 0.000
```

Output
Energy relative to the elements, uncorrected (meV/atom): 1656

---

Entry 20:
Below is crystalline Ag2TePt at its relaxed geometry, with properties calculated at the GGA-PBE level.

```
data_Ag2TePt
_chemical_formula_sum 'Ag2 Te1 Pt1'
_cell_length_a 5.334
_cell_length_b 5.334
_cell_length_c 4.779
_cell_angle_alpha 77.60
_cell_angle_beta 77.60
_cell_angle_gamma 35.85
_space_group_name_H-M_alt 'P 1'
_space_group_IT_number 1
_space_group_name_Hall 'P 1'
loop_
_atom_site_label
_atom_site_fract_x
_atom_site_fract_y
_atom_site_fract_z
Te1 0.250 0.250 0.250
Ag1 0.008 0.008 0.988
Ag2 0.492 0.492 0.512
Pt1 0.750 0.750 0.750
```

Output
Energy relative to the elements, uncorrected (meV/atom): 85

---

Number 1: volume 426.1 Å³/cell. Number 2: volume 120.0 Å³/cell. Number 3: volume 118.8 Å³/cell. Number 4: volume 116.3 Å³/cell. Number 5: volume 67.0 Å³/cell. Number 6: volume 153.1 Å³/cell. Number 7: volume 43.4 Å³/cell. Number 8: volume 183.6 Å³/cell. Number 9: volume 102.2 Å³/cell. Number 10: volume 339.6 Å³/cell. Number 11: volume 72.2 Å³/cell. Number 12: volume 61.7 Å³/cell. Number 13: volume 61.7 Å³/cell. Number 14: volume 139.1 Å³/cell. Number 15: volume 52.8 Å³/cell. Number 16: volume 111.5 Å³/cell. Number 17: volume 417.3 Å³/cell. Number 18: volume 141.8 Å³/cell. Number 19: volume 95.2 Å³/cell. Number 20: volume 77.6 Å³/cell.